# 1
K3CeCu2Cl9 (PBE-GGA, relaxed); formation energy without anion corrections = -1.53 eV/atom
1.0
7.2050 0.0000 0.0000
-3.6025 6.2397 0.0000
0.0000 0.0000 9.0872
K Ce Cu Cl
3 1 2 9
Direct
0.3333 0.6667 0.7259 K
0.0000 0.0000 0.0000 K
0.6667 0.3333 0.2741 K
0.0000 0.0000 0.5000 Ce
0.3333 0.6667 0.1380 Cu
0.6667 0.3333 0.8620 Cu
0.8284 0.1716 0.6762 Cl
0.8284 0.6568 0.6762 Cl
0.3432 0.1716 0.6762 Cl
0.6568 0.8284 0.3238 Cl
0.1716 0.3432 0.3238 Cl
0.1716 0.8284 0.3238 Cl
0.5000 0.0000 0.0000 Cl
0.0000 0.5000 0.0000 Cl
0.5000 0.5000 0.0000 Cl

=====

# 2
K2CeCuCl6 (PBE-GGA, relaxed); formation energy without anion corrections = -1.70 eV/atom; energy above the most stable polymorph in this dataset = 44 meV/atom
1.0
7.4418 0.0000 0.0000
3.7209 6.4448 0.0000
3.7209 2.1483 6.0762
K Ce Cu Cl
2 1 1 6
Direct
0.2500 0.2500 0.2500 K
0.7500 0.7500 0.7500 K
0.5000 0.5000 0.5000 Ce
0.0000 0.0000 0.0000 Cu
0.2402 0.2402 0.7598 Cl
0.2402 0.7598 0.7598 Cl
0.7598 0.7598 0.2402 Cl
0.2402 0.7598 0.2402 Cl
0.7598 0.2402 0.7598 Cl
0.7598 0.2402 0.2402 Cl

=====

# 3
K2CeCuCl8 (PBE-GGA, relaxed); formation energy without anion corrections = -1.59 eV/atom
1.0
7.4637 -1.0994 0.8312
-1.3842 6.8347 -0.9958
1.1231 -1.2066 7.9786
K Ce Cu Cl
2 1 1 8
Direct
0.3488 0.6020 0.8322 K
0.6512 0.3980 0.1678 K
0.0000 0.0000 0.5000 Ce
0.0000 0.0000 0.0000 Cu
0.0843 0.7251 0.2129 Cl
0.6914 0.8176 0.0398 Cl
0.9533 0.2070 0.2898 Cl
0.9157 0.2749 0.7871 Cl
0.3086 0.1824 0.9602 Cl
0.0467 0.7930 0.7102 Cl
0.6426 0.7797 0.5172 Cl
0.3574 0.2203 0.4828 Cl

=====

# 4
Li2CeCuCl8 (PBE-GGA, relaxed); formation energy without anion corrections = -1.49 eV/atom
1.0
6.4698 -0.7466 0.2225
-0.7930 6.4504 -0.1520
0.2985 -0.1806 7.6375
Li Ce Cu Cl
2 1 1 8
Direct
0.5642 0.4567 0.7661 Li
0.4358 0.5433 0.2339 Li
0.0000 0.0000 0.5000 Ce
0.0000 0.0000 0.0000 Cu
0.1511 0.7437 0.2783 Cl
0.6907 0.7307 0.0047 Cl
0.8619 0.1722 0.2331 Cl
0.8489 0.2563 0.7217 Cl
0.3093 0.2693 0.9953 Cl
0.1381 0.8278 0.7669 Cl
0.6310 0.7341 0.5254 Cl
0.3690 0.2659 0.4746 Cl

=====

# 5
LiCeCu2Cl8 (PBE-GGA, relaxed); formation energy without anion corrections = -1.30 eV/atom
1.0
-0.7084 5.2246 3.9991
1.2993 -4.4461 4.5695
7.6594 0.6721 0.8126
Li Ce Cu Cl
1 1 2 8
Direct
0.0000 0.0000 0.5000 Li
0.0000 0.0000 0.0000 Ce
0.5373 0.3831 0.6802 Cu
0.4627 0.6169 0.3198 Cu
0.1482 0.7676 0.2859 Cl
0.6404 0.7446 0.0562 Cl
0.8825 0.2098 0.2270 Cl
0.8518 0.2324 0.7141 Cl
0.3596 0.2554 0.9438 Cl
0.1175 0.7902 0.7730 Cl
0.6320 0.7257 0.5448 Cl
0.3680 0.2743 0.4552 Cl

=====

# 6
Na2CeCuCl8 (PBE-GGA, relaxed); formation energy without anion corrections = -1.50 eV/atom
1.0
-2.5683 1.8063 -5.6677
4.2326 -4.2835 -2.2586
-6.3463 -5.2672 0.3767
Na Ce Cu Cl
2 1 1 8
Direct
0.4867 0.5059 0.7671 Na
0.5133 0.4941 0.2329 Na
0.0000 0.0000 0.5000 Ce
0.0000 0.0000 0.0000 Cu
0.1589 0.7369 0.2837 Cl
0.7047 0.7649 0.0050 Cl
0.8736 0.1779 0.2440 Cl
0.8411 0.2631 0.7163 Cl
0.2953 0.2351 0.9950 Cl
0.1264 0.8221 0.7560 Cl
0.6457 0.7484 0.5106 Cl
0.3543 0.2516 0.4894 Cl

=====

# 7
NaCeCuCl6 (PBE-GGA, relaxed); formation energy without anion corrections = -1.57 eV/atom
1.0
-0.1708 -1.6233 6.3766
0.6450 -4.6894 -4.5737
12.7371 1.1369 0.6306
Na Ce Cu Cl
2 2 2 12
Direct
0.0000 0.0000 0.0000 Na
0.0000 0.0000 0.5000 Na
0.6667 0.3333 0.2500 Ce
0.3333 0.6667 0.7500 Ce
0.3333 0.6667 0.2500 Cu
0.6667 0.3333 0.7500 Cu
0.6404 0.6564 0.1336 Cl
0.0160 0.3596 0.1336 Cl
0.3596 0.0160 0.6336 Cl
0.9840 0.6404 0.8664 Cl
0.3436 0.3596 0.3664 Cl
0.0160 0.6564 0.3664 Cl
0.6564 0.0160 0.8664 Cl
0.6404 0.9840 0.3664 Cl
0.9840 0.3436 0.6336 Cl
0.3436 0.9840 0.1336 Cl
0.6564 0.6404 0.6336 Cl
0.3596 0.3436 0.8664 Cl

=====

# 8
CeCuPCl (PBE-GGA, relaxed); formation energy without anion corrections = -1.25 eV/atom
1.0
4.0343 0.0000 0.0000
2.0171 3.4938 0.0000
2.0171 1.1646 13.0329
Ce Cu P Cl
2 2 2 2
Direct
0.0800 0.0800 0.7599 Ce
0.9200 0.9200 0.2401 Ce
0.6892 0.6892 0.9325 Cu
0.3108 0.3108 0.0675 Cu
0.6278 0.6278 0.1165 P
0.3722 0.3722 0.8835 P
0.7905 0.7905 0.6284 Cl
0.2095 0.2095 0.3716 Cl

=====

# 9
CeCu2PbCl8 (PBE-GGA, relaxed); formation energy without anion corrections = -1.25 eV/atom
1.0
-4.6564 3.8103 -2.3490
-3.8177 -5.2540 2.2668
-2.7196 1.7125 8.0118
Ce Cu Pb Cl
1 2 1 8
Direct
0.0000 0.0000 0.0000 Ce
0.5157 0.3419 0.6760 Cu
0.4843 0.6581 0.3240 Cu
0.0000 0.0000 0.5000 Pb
0.1450 0.7724 0.2910 Cl
0.6288 0.7401 0.0703 Cl
0.8799 0.2206 0.1764 Cl
0.8550 0.2276 0.7090 Cl
0.3712 0.2599 0.9297 Cl
0.1201 0.7794 0.8236 Cl
0.5954 0.7163 0.5572 Cl
0.4046 0.2837 0.4428 Cl

=====

# 10
RbCeCu2Cl8 (PBE-GGA, relaxed); formation energy without anion corrections = -1.29 eV/atom
1.0
7.2059 0.0000 0.0000
-3.6029 6.2405 0.0000
0.0000 0.0000 9.1110
Rb Ce Cu Cl
1 1 2 8
Direct
0.0000 0.0000 0.5000 Rb
0.0000 0.0000 0.0000 Ce
0.3333 0.6667 0.7049 Cu
0.6667 0.3333 0.2951 Cu
0.1665 0.3330 0.8201 Cl
0.1665 0.8335 0.8201 Cl
0.6670 0.8335 0.8201 Cl
0.3330 0.1665 0.1799 Cl
0.6667 0.3333 0.5314 Cl
0.3333 0.6667 0.4686 Cl
0.8335 0.6670 0.1799 Cl
0.8335 0.1665 0.1799 Cl

=====

# 11
Rb2CeCuCl8 (PBE-GGA, relaxed); formation energy without anion corrections = -1.60 eV/atom
1.0
-5.0876 -4.8041 3.7442
-1.1608 -0.0847 -6.9871
4.4612 -6.7053 1.8787
Rb Ce Cu Cl
2 1 1 8
Direct
0.3484 0.6268 0.8343 Rb
0.6516 0.3732 0.1657 Rb
0.0000 0.0000 0.5000 Ce
0.0000 0.0000 0.0000 Cu
0.0779 0.7233 0.2237 Cl
0.7001 0.8413 0.0441 Cl
0.9737 0.2088 0.2845 Cl
0.9221 0.2767 0.7763 Cl
0.2999 0.1587 0.9559 Cl
0.0263 0.7912 0.7155 Cl
0.6560 0.7876 0.5089 Cl
0.3440 0.2124 0.4911 Cl

=====

# 12
RbCeCuCl6 (PBE-GGA, relaxed); formation energy without anion corrections = -1.63 eV/atom
1.0
6.7183 0.0000 0.0000
-3.3591 5.8182 0.0000
0.0000 0.0000 14.9008
Rb Ce Cu Cl
2 2 2 12
Direct
0.0000 0.0000 0.0000 Rb
0.0000 0.0000 0.5000 Rb
0.6667 0.3333 0.2500 Ce
0.3333 0.6667 0.7500 Ce
0.3333 0.6667 0.2500 Cu
0.6667 0.3333 0.7500 Cu
0.6242 0.6394 0.1491 Cl
0.0152 0.3758 0.1491 Cl
0.3758 0.0152 0.6491 Cl
0.9848 0.6242 0.8509 Cl
0.3606 0.3758 0.3509 Cl
0.0152 0.6394 0.3509 Cl
0.6394 0.0152 0.8509 Cl
0.6242 0.9848 0.3509 Cl
0.9848 0.3606 0.6491 Cl
0.3606 0.9848 0.1491 Cl
0.6394 0.6242 0.6491 Cl
0.3758 0.3606 0.8509 Cl

=====

# 13
Rb2CeCu3Cl12 (PBE-GGA, relaxed); formation energy without anion corrections = -1.20 eV/atom
1.0
10.0909 0.9690 0.6873
5.8260 8.2960 0.6873
5.8260 3.3912 7.6023
Rb Ce Cu Cl
2 1 3 12
Direct
0.6208 0.6208 0.6208 Rb
0.3792 0.3792 0.3792 Rb
0.0000 0.0000 0.0000 Ce
0.5000 0.0000 0.0000 Cu
0.0000 0.5000 0.0000 Cu
0.0000 0.0000 0.5000 Cu
0.3124 0.3124 0.9109 Cl
0.8991 0.8991 0.3583 Cl
0.3583 0.8991 0.8991 Cl
0.9109 0.3124 0.3124 Cl
0.8991 0.3583 0.8991 Cl
0.3124 0.9109 0.3124 Cl
0.6876 0.6876 0.0891 Cl
0.1009 0.1009 0.6417 Cl
0.6417 0.1009 0.1009 Cl
0.0891 0.6876 0.6876 Cl
0.1009 0.6417 0.1009 Cl
0.6876 0.0891 0.6876 Cl

=====

# 14
Ce2CuS4Cl (PBE-GGA, relaxed); formation energy without anion corrections = -1.43 eV/atom
1.0
-1.2748 -2.0544 3.0937
3.6855 -4.8488 0.7903
6.0210 0.7257 5.4545
Ce Cu S Cl
2 1 4 1
Direct
0.8160 0.6516 0.7165 Ce
0.1840 0.3484 0.2835 Ce
0.0000 0.0000 0.0000 Cu
0.1634 0.9929 0.6804 S
0.3759 0.3081 0.9400 S
0.8366 0.0071 0.3196 S
0.6241 0.6919 0.0600 S
0.5000 0.5000 0.5000 Cl

=====

# 15
CeTlCu2Cl8 (PBE-GGA, relaxed); formation energy without anion corrections = -1.16 eV/atom
1.0
6.3568 0.8772 0.0040
0.9133 6.3492 -0.0014
0.0170 0.0144 9.3064
Ce Tl Cu Cl
1 1 2 8
Direct
0.0000 0.0000 0.0000 Ce
0.0000 0.0000 0.5000 Tl
0.5013 0.5002 0.6614 Cu
0.4987 0.4998 0.3386 Cu
0.2362 0.7591 0.2165 Cl
0.7520 0.7549 0.9997 Cl
0.7619 0.2395 0.2166 Cl
0.7638 0.2409 0.7835 Cl
0.2480 0.2451 0.0003 Cl
0.2381 0.7605 0.7834 Cl
0.6660 0.6697 0.4988 Cl
0.3340 0.3303 0.5012 Cl

=====

# 16
CeTl2CuCl6 (PBE-GGA, relaxed); formation energy without anion corrections = -1.36 eV/atom
1.0
7.7256 0.0000 -0.0631
0.0000 8.6790 0.0000
-0.0073 0.0000 9.4037
Ce Tl Cu Cl
2 4 2 12
Direct
0.5000 0.0000 0.0000 Ce
0.0000 0.5000 0.5000 Ce
0.0273 0.9133 0.2509 Tl
0.5273 0.5867 0.7509 Tl
0.9727 0.0867 0.7491 Tl
0.4727 0.4133 0.2491 Tl
0.5000 0.0000 0.5000 Cu
0.0000 0.5000 0.0000 Cu
0.3338 0.7288 0.0553 Cl
0.8338 0.7712 0.5553 Cl
0.6662 0.2712 0.9447 Cl
0.1662 0.2288 0.4447 Cl
0.3022 0.6563 0.4543 Cl
0.8022 0.8437 0.9543 Cl
0.6978 0.3437 0.5457 Cl
0.1978 0.1563 0.0457 Cl
0.8997 0.5341 0.2102 Cl
0.3997 0.9659 0.7102 Cl
0.1003 0.4659 0.7898 Cl
0.6003 0.0341 0.2898 Cl

=====

# 17
CeTlCuCl6 (PBE-GGA, relaxed); formation energy without anion corrections = -1.41 eV/atom
1.0
-1.5719 -4.2909 4.8956
6.3226 0.4423 -2.1628
2.6465 10.2485 9.8323
Ce Tl Cu Cl
2 2 2 12
Direct
0.6667 0.3333 0.2500 Ce
0.3333 0.6667 0.7500 Ce
0.0000 0.0000 0.0000 Tl
0.0000 0.0000 0.5000 Tl
0.3333 0.6667 0.2500 Cu
0.6667 0.3333 0.7500 Cu
0.6270 0.6428 0.1463 Cl
0.0158 0.3730 0.1463 Cl
0.3730 0.0158 0.6463 Cl
0.9842 0.6270 0.8537 Cl
0.3572 0.3730 0.3537 Cl
0.0158 0.6428 0.3537 Cl
0.6428 0.0158 0.8537 Cl
0.6270 0.9842 0.3537 Cl
0.9842 0.3572 0.6463 Cl
0.3572 0.9842 0.1463 Cl
0.6428 0.6270 0.6463 Cl
0.3730 0.3572 0.8537 Cl

=====

# 18
CeTl3Cu2Cl9 (PBE-GGA, relaxed); formation energy without anion corrections = -1.16 eV/atom
1.0
-3.9077 5.9923 0.9296
-1.6505 -5.9879 3.6690
5.5488 2.5785 6.7043
Ce Tl Cu Cl
1 3 2 9
Direct
0.0000 0.0000 0.5000 Ce
0.3333 0.6667 0.7356 Tl
0.0000 0.0000 0.0000 Tl
0.6667 0.3333 0.2644 Tl
0.3333 0.6667 0.1489 Cu
0.6667 0.3333 0.8511 Cu
0.8291 0.1709 0.6782 Cl
0.8291 0.6583 0.6782 Cl
0.3417 0.1709 0.6782 Cl
0.6583 0.8291 0.3218 Cl
0.1709 0.3417 0.3218 Cl
0.1709 0.8291 0.3218 Cl
0.5000 0.0000 0.0000 Cl
0.0000 0.5000 0.0000 Cl
0.5000 0.5000 0.0000 Cl

=====

# 19
Ce3DyCl (PBE-GGA, relaxed); formation energy without anion corrections = -0.35 eV/atom
1.0
-0.7588 -5.1582 -1.1752
5.2821 -0.6723 -0.4596
0.2958 -1.2267 5.1934
Cl Ce Dy
1 3 1
Direct
0.0000 0.0000 0.0000 Cl
0.0000 0.5000 0.0000 Ce
0.0000 0.0000 0.5000 Ce
0.5000 0.0000 0.0000 Ce
0.5000 0.5000 0.5000 Dy

=====

# 20
CeDyCl (PBE-GGA, relaxed); formation energy without anion corrections = -0.81 eV/atom; energy above the most stable polymorph in this dataset = 82 meV/atom
1.0
3.5771 0.0000 0.0000
-1.7885 3.0978 0.0000
0.0000 0.0000 7.3863
Cl Ce Dy
1 1 1
Direct
0.3333 0.6667 0.6491 Cl
0.0000 0.0000 0.9831 Ce
0.6667 0.3333 0.3678 Dy